(1)
This record from Alexandria describes Y2Tl after structural relaxation. The functional is PBE.

Cell and atoms, written as CIF:
```
data_Y2Tl
_cell_length_a 6.250
_cell_length_b 6.250
_cell_length_c 10.871
_cell_angle_alpha 90.00
_cell_angle_beta 90.00
_cell_angle_gamma 120.00
_symmetry_space_group_name_H-M 'P 1'
_symmetry_Int_Tables_number 1
loop_
_symmetry_equiv_pos_as_xyz
'x,y,z'
loop_
_atom_site_label
_atom_site_fract_x
_atom_site_fract_y
_atom_site_fract_z
Y1 0.000 0.000 0.500
Tl1 0.667 0.333 0.921
Y2 0.169 0.338 0.750
Tl2 0.333 0.667 0.421
Tl3 0.333 0.667 0.079
Y3 0.831 0.662 0.250
Y4 0.169 0.831 0.750
Y5 0.831 0.169 0.250
Tl4 0.667 0.333 0.579
Y6 0.338 0.169 0.250
Y7 0.000 0.000 0.000
Y8 0.662 0.831 0.750
```

Output
* spin magnetization: 0.0000 μB/atom
* Fermi-level density of states: 9.58 states/eV per cell
* E_form: 225 meV/atom
* ρ: 6.90 g/cm³
* SG: P6_3/mmc

=====

(2)
This record from Alexandria describes Y3Tl4 after structural relaxation. The functional is PBE.

Cell and atoms, written as CIF:
```
data_Y3Tl4
_cell_length_a 8.043
_cell_length_b 8.043
_cell_length_c 8.043
_cell_angle_alpha 109.47
_cell_angle_beta 109.47
_cell_angle_gamma 109.47
_symmetry_space_group_name_H-M 'P 1'
_symmetry_Int_Tables_number 1
loop_
_symmetry_equiv_pos_as_xyz
'x,y,z'
loop_
_atom_site_label
_atom_site_fract_x
_atom_site_fract_y
_atom_site_fract_z
Tl1 0.164 0.664 0.664
Tl2 0.000 0.000 0.336
Tl3 0.836 0.500 0.000
Y1 0.125 0.375 0.250
Y2 0.375 0.125 0.750
Tl4 0.000 0.000 0.836
Tl5 0.336 0.500 0.000
Y3 0.750 0.625 0.375
Y4 0.875 0.250 0.625
Y5 0.250 0.875 0.125
Tl6 0.500 0.836 0.500
Tl7 0.664 0.164 0.164
Y6 0.625 0.750 0.875
Tl8 0.500 0.336 0.500
```

Output
* spin magnetization: 0.0000 μB/atom
* Fermi-level density of states: 11.65 states/eV per cell
* E_form: -262 meV/atom
* relative energy among the computed polymorphs: 77 meV per atom
* ρ: 8.99 g/cm³
* SG: I-43d

=====

(3)
This record from Alexandria describes Y3Tl after structural relaxation. The functional is PBE.

Cell and atoms, written as CIF:
```
data_Y3Tl
_cell_length_a 4.741
_cell_length_b 3.696
_cell_length_c 7.721
_cell_angle_alpha 61.45
_cell_angle_beta 90.00
_cell_angle_gamma 90.00
_symmetry_space_group_name_H-M 'P 1'
_symmetry_Int_Tables_number 1
loop_
_symmetry_equiv_pos_as_xyz
'x,y,z'
loop_
_atom_site_label
_atom_site_fract_x
_atom_site_fract_y
_atom_site_fract_z
Y1 0.500 0.254 0.245
Y2 0.000 0.500 0.500
Tl1 0.000 0.000 0.000
Y3 0.500 0.746 0.755
```

Output
* spin magnetization: 0.0006 μB/atom
* Fermi-level density of states: 5.90 states/eV per cell
* E_form: -151 meV/atom
* ρ: 6.58 g/cm³
* SG: Pmmm

=====

Question: What is the E_form in the first record?
Answer: 225 meV/atom

=====

Question: Which formula does entry 3 have?
Answer: Y3Tl

=====

Question: Which formula does entry 3 have?
Answer: Y3Tl